Entry from Alexandria: an optimized crystal structure of Dy2P2Pt3 (GGA-PBE).

Summary:
total magnetic moment: 0.00 Bohr magnetons per cell
formation energy: -1.1015 eV/atom
space group: C2/m

Unit cell a=10.006 b=3.929 c=7.052 alpha=90.00 beta=116.44 gamma=90.00
Atoms (fractional coordinates):
Dy  0.131  0.000  0.270
Dy  0.369  0.500  0.730
Dy  0.631  0.500  0.270
Dy  0.869  0.000  0.730
P  0.156  0.000  0.703
P  0.344  0.500  0.297
P  0.656  0.500  0.703
P  0.844  0.000  0.297
Pt  0.000  0.500  0.500
Pt  0.125  0.500  0.947
Pt  0.375  0.000  0.053
Pt  0.500  0.000  0.500
Pt  0.625  0.000  0.947
Pt  0.875  0.500  0.053

Entry from Alexandria: an optimized crystal structure of Pm2Dy3Y (GGA-PBE).

Summary:
total magnetic moment: 0.00 Bohr magnetons per cell
formation energy: 0.0933 eV/atom
space group: C2/m
ΔE to the lowest computed polymorph: 0.000 eV/atom

Unit cell a=9.039 b=9.039 c=9.962 alpha=123.20 beta=123.20 gamma=36.21
Atoms (fractional coordinates):
Pm  0.007  0.007  0.357
Pm  0.268  0.268  0.624
Pm  0.732  0.732  0.376
Pm  0.993  0.993  0.643
Dy  0.113  0.113  0.157
Dy  0.211  0.211  0.927
Dy  0.454  0.454  0.112
Dy  0.546  0.546  0.888
Dy  0.789  0.789  0.073
Dy  0.887  0.887  0.843
Y  0.368  0.368  0.369
Y  0.632  0.632  0.631

Entry from Alexandria: an optimized crystal structure of TlInPt (GGA-PBE).

Summary:
total magnetic moment: 0.00 Bohr magnetons per cell
formation energy: -0.2490 eV/atom
space group: F-43m
ΔE to the lowest computed polymorph: 0.000 eV/atom

Unit cell a=6.607 b=6.607 c=6.607 alpha=90.00 beta=90.00 gamma=90.00
Atoms (fractional coordinates):
Tl  0.000  0.000  0.000
Tl  0.000  0.500  0.500
Tl  0.500  0.000  0.500
Tl  0.500  0.500  0.000
In  0.000  0.000  0.500
In  0.000  0.500  0.000
In  0.500  0.000  0.000
In  0.500  0.500  0.500
Pt  0.250  0.250  0.750
Pt  0.250  0.750  0.250
Pt  0.750  0.250  0.250
Pt  0.750  0.750  0.750

Entry from Alexandria: an optimized crystal structure of AgSnC2 (GGA-PBE).

Summary:
total magnetic moment: 0.00 Bohr magnetons per cell
formation energy: 1.6585 eV/atom
space group: I-42d

Unit cell a=4.922 b=4.922 c=10.604 alpha=90.00 beta=90.00 gamma=90.00
Atoms (fractional coordinates):
Ag  0.000  0.000  0.000
Ag  0.000  0.500  0.250
Ag  0.500  0.000  0.750
Ag  0.500  0.500  0.500
Sn  0.000  0.000  0.500
Sn  0.000  0.500  0.750
Sn  0.500  0.000  0.250
Sn  0.500  0.500  0.000
C  0.245  0.250  0.125
C  0.250  0.745  0.375
C  0.250  0.755  0.875
C  0.255  0.250  0.625
C  0.745  0.750  0.625
C  0.750  0.245  0.875
C  0.750  0.255  0.375
C  0.755  0.750  0.125

Entry from Alexandria: an optimized crystal structure of CoAgCl2 (GGA-PBE).

Summary:
total magnetic moment: 7.15 Bohr magnetons per cell
space group: R-3m
raw formation energy: -0.1605 eV/atom
ΔE to the lowest computed polymorph: 0.008 eV/atom

Unit cell a=3.420 b=3.420 c=24.567 alpha=90.00 beta=90.00 gamma=120.00
Atoms (fractional coordinates):
Co  0.000  0.000  0.000
Co  0.333  0.667  0.667
Co  0.667  0.333  0.333
Ag  0.000  0.000  0.500
Ag  0.333  0.667  0.167
Ag  0.667  0.333  0.833
Cl  0.000  0.000  0.390
Cl  0.000  0.000  0.610
Cl  0.333  0.667  0.057
Cl  0.333  0.667  0.276
Cl  0.667  0.333  0.724
Cl  0.667  0.333  0.943

Entry from Alexandria: an optimized crystal structure of RbHfS3 (GGA-PBE).

Summary:
total magnetic moment: 0.00 Bohr magnetons per cell
space group: Pm-3m
raw formation energy: -1.2178 eV/atom
ΔE to the lowest computed polymorph: 0.000 eV/atom

Unit cell a=5.024 b=5.024 c=5.024 alpha=90.00 beta=90.00 gamma=90.00
Atoms (fractional coordinates):
Rb  0.000  0.000  0.000
Hf  0.500  0.500  0.500
S  0.000  0.500  0.500
S  0.500  0.000  0.500
S  0.500  0.500  0.000

Entry from Alexandria: an optimized crystal structure of K3Tb2PmSe6 (GGA-PBE).

Summary:
total magnetic moment: 0.00 Bohr magnetons per cell
space group: C2/m
raw formation energy: -1.7637 eV/atom

Unit cell a=7.379 b=7.379 c=8.075 alpha=98.76 beta=98.76 gamma=120.00
Atoms (fractional coordinates):
K  0.000  0.000  0.000
K  0.334  0.666  0.000
K  0.666  0.334  0.000
Tb  0.167  0.833  0.500
Tb  0.833  0.167  0.500
Pm  0.500  0.500  0.500
Se  0.092  0.431  0.293
Se  0.231  0.231  0.707
Se  0.431  0.092  0.293
Se  0.569  0.908  0.707
Se  0.769  0.769  0.293
Se  0.908  0.569  0.707

Entry from Alexandria: an optimized crystal structure of Zr2H2Ru (GGA-PBE).

Summary:
total magnetic moment: 0.00 Bohr magnetons per cell
space group: I4/mmm
ΔE to the lowest computed polymorph: 0.000 eV/atom

Unit cell a=3.226 b=3.226 c=12.163 alpha=90.00 beta=90.00 gamma=90.00
Atoms (fractional coordinates):
Zr  0.000  0.000  0.138
Zr  0.000  0.000  0.862
Zr  0.500  0.500  0.362
Zr  0.500  0.500  0.638
H  0.000  0.500  0.250
H  0.000  0.500  0.750
H  0.500  0.000  0.250
H  0.500  0.000  0.750
Ru  0.000  0.000  0.500
Ru  0.500  0.500  0.000

Entry from Alexandria: an optimized crystal structure of Ca4GaPt (GGA-PBE).

Summary:
total magnetic moment: 0.00 Bohr magnetons per cell
formation energy: -0.5244 eV/atom
space group: C2/c

Unit cell a=8.286 b=8.286 c=6.615 alpha=107.13 beta=107.13 gamma=111.27
Atoms (fractional coordinates):
Ca  0.054  0.706  0.917
Ca  0.233  0.354  0.720
Ca  0.294  0.946  0.583
Ca  0.354  0.233  0.220
Ca  0.646  0.767  0.780
Ca  0.706  0.054  0.417
Ca  0.767  0.646  0.280
Ca  0.946  0.294  0.083
Ga  0.364  0.636  0.250
Ga  0.636  0.364  0.750
Pt  0.006  0.994  0.750
Pt  0.994  0.006  0.250

Entry from Alexandria: an optimized crystal structure of Ca4MgH10 (GGA-PBE).

Summary:
calculated total energy: -49.94 eV/f.u.
total magnetic moment: 0.00 Bohr magnetons per cell
space group: I4/m

Unit cell a=6.444 b=6.444 c=6.444 alpha=99.61 beta=99.61 gamma=131.78
Atoms (fractional coordinates):
Ca  0.102  0.703  0.805
Ca  0.297  0.102  0.398
Ca  0.703  0.898  0.602
Ca  0.898  0.297  0.195
Mg  0.500  0.500  0.000
H  0.071  0.358  0.905
H  0.166  0.071  0.713
H  0.250  0.750  0.500
H  0.358  0.453  0.287
H  0.453  0.166  0.095
H  0.547  0.834  0.905
H  0.642  0.547  0.713
H  0.750  0.250  0.500
H  0.834  0.929  0.287
H  0.929  0.642  0.095

Entry from Alexandria: an optimized crystal structure of LaOs3I (GGA-PBE).

Summary:
total magnetic moment: 0.00 Bohr magnetons per cell
space group: Pm-3m
raw formation energy: 1.7687 eV/atom
ΔE to the lowest computed polymorph: 0.000 eV/atom

Unit cell a=4.881 b=4.881 c=4.881 alpha=90.00 beta=90.00 gamma=90.00
Atoms (fractional coordinates):
La  0.000  0.000  0.000
Os  0.000  0.500  0.500
Os  0.500  0.000  0.500
Os  0.500  0.500  0.000
I  0.500  0.500  0.500

Entry from Alexandria: an optimized crystal structure of MgS (GGA-PBE).

Summary:
total magnetic moment: 0.00 Bohr magnetons per cell
space group: I4/m
raw formation energy: -1.3507 eV/atom

Unit cell a=10.291 b=10.291 c=4.108 alpha=90.00 beta=90.00 gamma=90.00
Atoms (fractional coordinates):
Mg  0.129  0.705  0.000
Mg  0.205  0.371  0.500
Mg  0.295  0.129  0.000
Mg  0.371  0.795  0.500
Mg  0.629  0.205  0.500
Mg  0.705  0.871  0.000
Mg  0.795  0.629  0.500
Mg  0.871  0.295  0.000
S  0.106  0.281  0.000
S  0.219  0.606  0.500
S  0.281  0.894  0.000
S  0.394  0.219  0.500
S  0.606  0.781  0.500
S  0.719  0.106  0.000
S  0.781  0.394  0.500
S  0.894  0.719  0.000